Entry from the Alexandria database: crystalline ThGa12Pd4 at its relaxed geometry (PBE-GGA).

The structure in extended XYZ format:
```
17
Lattice="-4.397 4.397 4.397 4.397 -4.397 4.397 4.397 4.397 -4.397" Properties=species:S:1:pos:R:3 pbc="T T T"
Th 0.000 0.000 0.000
Ga 3.058 1.332 0.000
Ga 5.736 1.332 0.000
Ga 4.397 -1.339 3.065
Ga 3.065 4.397 -1.339
Ga 1.332 0.000 3.058
Ga 0.000 3.058 1.332
Ga 4.397 1.339 3.065
Ga 3.065 4.397 1.339
Ga 1.332 0.000 5.736
Ga 0.000 5.736 1.332
Ga -1.339 3.065 4.397
Ga 1.339 3.065 4.397
Pd 2.199 2.199 -2.199
Pd 2.199 -2.199 2.199
Pd -2.199 2.199 2.199
Pd 2.199 2.199 2.199
```

**Calculated formation energy**: -0.260 eV/atom
**Crystal system**: cubic